# Zr2NpBi PBE optimized geometry
# - volume (Å³/atom) = 24.800
# - raw total energy (eV for the cell shown) = -99.27
data_Zr2NpBi
_symmetry_space_group_name_H-M 'R -3 m'
_symmetry_Int_Tables_number 166
_symmetry_space_group_name_Hall '-R 3 2"'
_cell_length_a 3.3839
_cell_length_b 3.3839
_cell_length_c 30.0110
_cell_angle_alpha 90.00
_cell_angle_beta 90.00
_cell_angle_gamma 120.00
loop_
_atom_site_label
_atom_site_type_symbol
_atom_site_fract_x
_atom_site_fract_y
_atom_site_fract_z
_atom_site_occupancy
Zr1 Zr 0.0000 0.0000 0.2503 1
Np1 Np 0.0000 0.0000 0.0000 1
Bi1 Bi 0.0000 0.0000 0.5000 1

---

# Ce2NpWN5 PBE optimized geometry
# - volume (Å³/atom) = 14.311
# - energy relative to the elements, uncorrected (eV per atom) = -0.837
data_Ce2NpWN5
_symmetry_space_group_name_H-M 'P 4/m b m'
_symmetry_Int_Tables_number 127
_symmetry_space_group_name_Hall '-P 4 2ab'
_cell_length_a 6.6185
_cell_length_b 6.6185
_cell_length_c 5.8808
_cell_angle_alpha 90.00
_cell_angle_beta 90.00
_cell_angle_gamma 90.00
loop_
_atom_site_label
_atom_site_type_symbol
_atom_site_fract_x
_atom_site_fract_y
_atom_site_fract_z
_atom_site_occupancy
Ce1 Ce 0.1691 0.3309 0.0000 1
Np1 Np 0.0000 0.0000 0.5000 1
W1 W 0.0000 0.5000 0.5000 1
N1 N 0.0000 0.0000 0.0000 1
N2 N 0.1494 0.6494 0.2664 1

---

# RePPt PBE optimized geometry
# - volume (Å³/atom) = 14.575
# - raw total energy (eV for the cell shown) = -24.02
data_RePPt
_symmetry_space_group_name_H-M 'P 3 m 1'
_symmetry_Int_Tables_number 156
_cell_length_a 2.8931
_cell_length_b 2.8931
_cell_length_c 6.0322
_cell_angle_alpha 90.00
_cell_angle_beta 90.00
_cell_angle_gamma 120.00
loop_
_symmetry_equiv_pos_as_xyz
'x,y,z'
'-y,x-y,z'
'-x+y,-x,z'
'-y,-x,z'
'-x+y,y,z'
'x,x-y,z'
loop_
_atom_site_label
_atom_site_type_symbol
_atom_site_fract_x
_atom_site_fract_y
_atom_site_fract_z
_atom_site_occupancy
Re1 Re 0.0000 0.0000 0.0000 1
P1 P 0.6667 0.3333 0.2873 1
Pt1 Pt 0.3333 0.6667 0.6232 1

---

# Pm7DyTl4 PBE optimized geometry
# - volume (Å³/atom) = 32.018
# - raw total energy (eV for the cell shown) = -96.12
data_Pm7DyTl4
_symmetry_space_group_name_H-M 'C 1 2/m 1'
_symmetry_Int_Tables_number 12
_cell_length_a 14.9368
_cell_length_b 5.8770
_cell_length_c 10.4133
_cell_angle_alpha 90.00
_cell_angle_beta 122.79
_cell_angle_gamma 90.00
loop_
_symmetry_equiv_pos_as_xyz
'x,y,z'
'-x,-y,-z'
'-x,y,-z'
'x,-y,z'
'x+1/2,y+1/2,z'
'-x+1/2,-y+1/2,-z'
'-x+1/2,y+1/2,-z'
'x+1/2,-y+1/2,z'
loop_
_atom_site_label
_atom_site_type_symbol
_atom_site_fract_x
_atom_site_fract_y
_atom_site_fract_z
_atom_site_occupancy
Pm1 Pm 0.0000 0.0000 0.0000 1
Pm2 Pm 0.0623 0.5000 0.3952 1
Pm3 Pm 0.2044 0.5000 0.8824 1
Pm4 Pm 0.2304 0.0000 0.6713 1
Dy1 Dy 0.0000 0.5000 0.0000 1
Tl1 Tl 0.0555 0.0000 0.7394 1
Tl2 Tl 0.1862 0.0000 0.3345 1